Entry P
A relaxed ReMo2Au crystal, computed with GGA-PBE.

Cell lengths 2.875, 3.950, 5.726 Å; angles 90.00, 90.00, 90.00 degrees
Space group Pmm2 (No. 25)
Asymmetric unit:
Re1 0.000 0.000 0.000 [1 per cell]
Mo1 0.000 0.000 0.555 [1 per cell]
Mo2 0.500 0.500 0.795 [1 per cell]
Au1 0.500 0.500 0.285 [1 per cell]

Size of the total moment   0.00 μB per cell
Theoretical density   14.69 g/cm3
DOS(E_F)   0.81 states/eV/atom

Entry Q
A relaxed ReMo2Au crystal, computed with GGA-PBE.

Cell lengths 2.841, 3.995, 5.674 Å; angles 90.00, 90.17, 90.00 degrees
Space group P2/m (No. 10)
Asymmetric unit:
Re1 0.000 0.000 0.000 [1 per cell]
Mo1 0.498 0.500 0.225 [2 per cell]
Au1 0.000 0.000 0.500 [1 per cell]

Size of the total moment   0.00 μB per cell
Theoretical density   14.83 g/cm3
DOS(E_F)   0.88 states/eV/atom

Name the least stable of them. entry P.

Entry P
A relaxed ReMo2Au crystal, computed with GGA-PBE.

Cell lengths 7.249, 7.249, 5.437 Å; angles 90.00, 90.00, 90.00 degrees
Space group I-42d (No. 122)
Asymmetric unit:
Re1 0.000 0.000 0.000 [4 per cell]
Mo1 0.215 0.250 0.125 [8 per cell]
Au1 0.000 0.000 0.500 [4 per cell]

Size of the total moment   0.00 μB per cell
Theoretical density   13.37 g/cm3
DOS(E_F)   0.75 states/eV/atom

Entry Q
A relaxed ReMo2Au crystal, computed with GGA-PBE.

Cell lengths 4.004, 4.004, 7.896 Å; angles 90.00, 90.00, 90.00 degrees
Space group I4/mmm (No. 139)
Asymmetric unit:
Re1 0.000 0.000 0.000 [2 per cell]
Mo1 0.000 0.500 0.250 [4 per cell]
Au1 0.000 0.000 0.500 [2 per cell]

Size of the total moment   0.00 μB per cell
Theoretical density   15.09 g/cm3
DOS(E_F)   0.63 states/eV/atom

Entry R
A relaxed ReMo2Au crystal, computed with GGA-PBE.

Cell lengths 9.340, 2.913, 4.807 Å; angles 90.00, 101.63, 90.00 degrees
Space group C2/m (No. 12)
Asymmetric unit:
Re1 0.000 0.000 0.000 [2 per cell]
Mo1 0.245 0.500 0.241 [4 per cell]
Au1 0.000 0.500 0.500 [2 per cell]

Size of the total moment   0.00 μB per cell
Theoretical density   14.91 g/cm3
DOS(E_F)   1.05 states/eV/atom

Entry S
A relaxed ReMo2Au crystal, computed with GGA-PBE.

Cell lengths 3.988, 3.988, 3.971 Å; angles 90.00, 90.00, 90.00 degrees
Space group P4/mmm (No. 123)
Asymmetric unit:
Re1 0.000 0.000 0.000 [1 per cell]
Mo1 0.000 0.500 0.500 [2 per cell]
Au1 0.500 0.500 0.000 [1 per cell]

Size of the total moment   0.00 μB per cell
Theoretical density   15.12 g/cm3
DOS(E_F)   0.73 states/eV/atom

Name the least stable of them. entry P.

Entry P
A relaxed ReMo2Au crystal, computed with GGA-PBE.

Cell lengths 6.375, 6.375, 6.375 Å; angles 90.00, 90.00, 90.00 degrees
Space group Fm-3m (No. 225)
Asymmetric unit:
Re1 0.000 0.000 0.000 [4 per cell]
Mo1 0.250 0.250 0.250 [8 per cell]
Au1 0.000 0.000 0.500 [4 per cell]

Size of the total moment   0.00 μB per cell
Theoretical density   14.75 g/cm3
DOS(E_F)   1.60 states/eV/atom

Entry Q
A relaxed ReMo2Au crystal, computed with GGA-PBE.

Cell lengths 6.368, 6.368, 6.368 Å; angles 90.00, 90.00, 90.00 degrees
Space group F-43m (No. 216)
Asymmetric unit:
Re1 0.000 0.000 0.000 [4 per cell]
Mo1 0.000 0.000 0.500 [4 per cell]
Mo2 0.250 0.250 0.750 [4 per cell]
Au1 0.250 0.250 0.250 [4 per cell]

Size of the total moment   0.00 μB per cell
Theoretical density   14.79 g/cm3
DOS(E_F)   1.39 states/eV/atom

Name the least stable of them. entry Q.

Entry P
A relaxed ReMo2Au crystal, computed with GGA-PBE.

Cell lengths 2.722, 4.559, 5.240 Å; angles 90.00, 97.52, 90.00 degrees
Space group Pm (No. 6)
Asymmetric unit:
Re1 0.000 0.000 0.000 [1 per cell]
Mo1 0.347 0.500 0.814 [1 per cell]
Mo2 0.571 0.000 0.524 [1 per cell]
Au1 0.998 0.500 0.302 [1 per cell]

Size of the total moment   0.00 μB per cell
Theoretical density   14.81 g/cm3
DOS(E_F)   0.82 states/eV/atom

Entry Q
A relaxed ReMo2Au crystal, computed with GGA-PBE.

Cell lengths 3.196, 4.408, 9.180 Å; angles 90.00, 90.00, 90.00 degrees
Space group Cmm2 (No. 35)
Asymmetric unit:
Re1 0.000 0.000 0.000 [2 per cell]
Mo1 0.000 0.000 0.525 [2 per cell]
Mo2 0.000 0.500 0.766 [2 per cell]
Au1 0.000 0.500 0.265 [2 per cell]

Size of the total moment   0.00 μB per cell
Theoretical density   14.77 g/cm3
DOS(E_F)   0.60 states/eV/atom

Name the least stable of them. entry P.

Entry P
A relaxed ReMo2Au crystal, computed with GGA-PBE.

Cell lengths 3.999, 3.999, 7.931 Å; angles 90.00, 90.00, 90.00 degrees
Space group I-4m2 (No. 119)
Asymmetric unit:
Re1 0.000 0.000 0.000 [2 per cell]
Mo1 0.000 0.000 0.500 [2 per cell]
Mo2 0.000 0.500 0.750 [2 per cell]
Au1 0.000 0.500 0.250 [2 per cell]

Size of the total moment   0.00 μB per cell
Theoretical density   15.05 g/cm3
DOS(E_F)   0.81 states/eV/atom

Entry Q
A relaxed ReMo2Au crystal, computed with GGA-PBE.

Cell lengths 2.8099, 2.8099, 28.2414 Å; angles 90.00, 90.00, 120.00 degrees
Space group R-3m (No. 166, hexagonal axes)
Asymmetric unit:
Re1 0.0000 0.0000 0.0000 [3 per cell]
Mo1 0.0000 0.0000 0.2543 [6 per cell]
Au1 0.0000 0.0000 0.5000 [3 per cell]

Size of the total moment   0.00 μB per cell
Theoretical density   14.83 g/cm3
DOS(E_F)   1.17 states/eV/atom

Name the least stable of them. entry P.

Entry P
A relaxed MoRh2Au crystal, computed with GGA-PBE.

Cell lengths 5.472, 5.480, 8.168 Å; angles 90.00, 90.00, 90.00 degrees
Space group F222 (No. 22)
Asymmetric unit:
Mo1 0.000 0.000 0.000 [4 per cell]
Rh1 0.000 0.000 0.500 [4 per cell]
Rh2 0.250 0.250 0.250 [4 per cell]
Au1 0.250 0.250 0.750 [4 per cell]

Size of the total moment   0.00 μB per cell
Theoretical density   13.52 g/cm3
DOS(E_F)   1.19 states/eV/atom

Entry Q
A relaxed MoRh2Au crystal, computed with GGA-PBE.

Cell lengths 2.7912, 2.7912, 27.6866 Å; angles 90.00, 90.00, 120.00 degrees
Space group R3m (No. 160, hexagonal axes)
Asymmetric unit:
Mo1 0.0000 0.0000 0.0000 [3 per cell]
Rh1 0.0000 0.0000 0.2566 [3 per cell]
Rh2 0.0000 0.0000 0.5081 [3 per cell]
Au1 0.0000 0.0000 0.7552 [3 per cell]

Size of the total moment   2.99 μB per cell
Theoretical density   13.30 g/cm3
DOS(E_F)   1.36 states/eV/atom

Name the least stable of them. entry Q.